Record 1
Crystalline Tb8Te4AuSe3 at its relaxed geometry. Source: Alexandria, functional PBE-GGA.

The structure belongs to space group R-3m (No. 166, hexagonal axes); the cell edges are 8.4670, 8.4670 and 21.1617 Å and the angles 90.00°, 90.00° and 120.00°. The distinct sites, in fractional coordinates, are Tb at (0.0000, 0.0000, 0.2394), Tb at (0.0045, 0.5022, 0.2411), Te at (0.0000, 0.0000, 0.0000), Te at (0.0000, 0.5000, 0.0000), Au at (0.0000, 0.0000, 0.5000) and Se at (0.0000, 0.5000, 0.5000).

As for the energy: -0.199 Ha/atom.

---

Record 2
Crystalline TbTlAuSe2 at its relaxed geometry. Source: Alexandria, functional PBE-GGA.

The structure belongs to space group P2/c (No. 13); the cell edges are 7.581, 5.176 and 7.773 Å and the angles 90.00°, 102.30° and 90.00°. The distinct sites, in fractional coordinates, are Tb at (0.000, 0.004, 0.250), Tl at (0.500, 0.324, 0.750), Au at (0.000, 0.500, 0.000) and Se at (0.255, 0.163, 0.051).

As for the energy: -0.156 Ha/atom.

---

Record 3
Crystalline Tb2TlAuSe4 at its relaxed geometry. Source: Alexandria, functional PBE-GGA.

The structure belongs to space group Cmcm (No. 63); the cell edges are 4.165, 14.140 and 14.814 Å and the angles 90.00°, 90.00° and 90.00°. The distinct sites, in fractional coordinates, are Tb at (0.000, 0.129, 0.071), Tl at (0.000, 0.370, 0.250), Au at (0.000, 0.341, 0.750), Se at (0.000, 0.046, 0.250), Se at (0.000, 0.235, 0.603) and Se at (0.000, 0.500, 0.000).

As for the energy: -0.178 Ha/atom.

---

Record 4
Crystalline Tc2AuSe at its relaxed geometry. Source: Alexandria, functional PBE-GGA.

The structure belongs to space group Pmmm (No. 47); the cell edges are 2.992, 4.675 and 4.708 Å and the angles 90.00°, 90.00° and 90.00°. The distinct sites, in fractional coordinates, are Tc at (0.000, 0.000, 0.000), Tc at (0.500, 0.000, 0.500), Au at (0.000, 0.500, 0.500) and Se at (0.500, 0.500, 0.000).

As for the energy: -0.227 Ha/atom.

---

Record 5
Crystalline TcAuSe2 at its relaxed geometry. Source: Alexandria, functional PBE-GGA.

The structure belongs to space group Cm (No. 8); the cell edges are 10.479, 3.067 and 6.954 Å and the angles 90.00°, 117.28° and 90.00°. The distinct sites, in fractional coordinates, are Tc at (0.000, 0.000, 0.000), Au at (0.237, 0.500, 0.066), Se at (0.352, 0.000, 0.716) and Se at (0.488, 0.000, 0.267).

As for the energy: -0.188 Ha/atom.

---

Record 6
Crystalline TcAuSe at its relaxed geometry. Source: Alexandria, functional PBE-GGA.

The structure belongs to space group I4mm (No. 107); the cell edges are 2.988, 2.988 and 12.785 Å and the angles 90.00°, 90.00° and 90.00°. The distinct sites, in fractional coordinates, are Tc at (0.000, 0.000, 0.000), Au at (0.000, 0.000, 0.347) and Se at (0.000, 0.000, 0.611).

As for the energy: -0.204 Ha/atom.

---

Record 7
Crystalline TcAuSe2 at its relaxed geometry. Source: Alexandria, functional PBE-GGA.

The structure belongs to space group Cmmm (No. 65); the cell edges are 3.002, 4.918 and 10.865 Å and the angles 90.00°, 90.00° and 90.00°. The distinct sites, in fractional coordinates, are Tc at (0.000, 0.000, 0.000), Au at (0.000, 0.000, 0.500) and Se at (0.000, 0.500, 0.191).

As for the energy: -0.178 Ha/atom.

---

Record 8
Crystalline TcAuSe2 at its relaxed geometry. Source: Alexandria, functional PBE-GGA.

The structure belongs to space group Imm2 (No. 44); the cell edges are 3.018, 4.072 and 12.741 Å and the angles 90.00°, 90.00° and 90.00°. The distinct sites, in fractional coordinates, are Tc at (0.000, 0.000, 0.000), Au at (0.000, 0.500, 0.711), Se at (0.000, 0.000, 0.558) and Se at (0.000, 0.500, 0.347).

As for the energy: -0.183 Ha/atom.

---

Record 9
Crystalline Tc2AuSe at its relaxed geometry. Source: Alexandria, functional PBE-GGA.

The structure belongs to space group I-4m2 (No. 119); the cell edges are 4.081, 4.081 and 7.749 Å and the angles 90.00°, 90.00° and 90.00°. The distinct sites, in fractional coordinates, are Tc at (0.000, 0.000, 0.000), Tc at (0.000, 0.500, 0.250), Au at (0.000, 0.000, 0.500) and Se at (0.000, 0.500, 0.750).

As for the energy: -0.231 Ha/atom.

---

Record 10
Crystalline TcAu2Se at its relaxed geometry. Source: Alexandria, functional PBE-GGA.

The structure belongs to space group P4mm (No. 99); the cell edges are 2.976, 2.976 and 8.518 Å and the angles 90.00°, 90.00° and 90.00°. The distinct sites, in fractional coordinates, are Tc at (0.000, 0.000, 0.000), Au at (0.000, 0.000, 0.474), Au at (0.500, 0.500, 0.235) and Se at (0.500, 0.500, 0.835).

As for the energy: -0.184 Ha/atom.

---

Record 11
Crystalline TcAuSe2 at its relaxed geometry. Source: Alexandria, functional PBE-GGA.

The structure belongs to space group R-3m (No. 166, hexagonal axes); the cell edges are 2.8190, 2.8190 and 36.9990 Å and the angles 90.00°, 90.00° and 120.00°. The distinct sites, in fractional coordinates, are Tc at (0.0000, 0.0000, 0.0000), Au at (0.0000, 0.0000, 0.5000) and Se at (0.0000, 0.0000, 0.0668).

As for the energy: -0.176 Ha/atom.

---

Record 12
Crystalline TcAu2Se at its relaxed geometry. Source: Alexandria, functional PBE-GGA.

The structure belongs to space group Imm2 (No. 44); the cell edges are 2.875, 4.562 and 12.282 Å and the angles 90.00°, 90.00° and 90.00°. The distinct sites, in fractional coordinates, are Tc at (0.000, 0.000, 0.000), Au at (0.000, 0.000, 0.449), Au at (0.000, 0.500, 0.297) and Se at (0.000, 0.500, 0.658).

As for the energy: -0.178 Ha/atom.